1.
A relaxed structure of Rb3GdF6. Source: the Alexandria database, functional PBEsol.

Results
E_form (uncorrected) = -3.192 eV per atom
total DFT energy (no corrections) = -6.1005 eV/atom
crystal system = tetragonal

Lattice parameters (Å, degrees): 7.080 7.080 9.565 90.00 90.00 90.00
Space group I4/mmm (No. 139)
Symmetry-distinct sites (fractional):
Rb: 0.000 0.000 0.000
Rb: 0.000 0.500 0.250
Gd: 0.000 0.000 0.500
F: 0.000 0.000 0.267
F: 0.000 0.309 0.500

=====

2.
A relaxed structure of BBr. Source: the Alexandria database, functional PBEsol.

Results
E_form (uncorrected) = -0.300 eV per atom
total DFT energy (no corrections) = -4.7431 eV/atom
crystal system = triclinic

Lattice parameters (Å, degrees): 9.797 9.810 9.832 86.25 86.30 86.21
Space group P1 (No. 1)
Symmetry-distinct sites (fractional):
B: 0.000 0.000 0.000
B: 0.001 0.864 0.135
B: 0.039 0.829 0.964
B: 0.210 0.421 0.551
B: 0.246 0.249 0.519
B: 0.251 0.383 0.382
B: 0.359 0.361 0.630
B: 0.363 0.494 0.493
B: 0.384 0.245 0.386
B: 0.416 0.208 0.558
B: 0.423 0.415 0.345
B: 0.496 0.357 0.498
B: 0.753 0.887 0.024
B: 0.828 0.039 0.966
B: 0.830 0.828 0.175
B: 0.865 0.999 0.136
B: 0.888 0.888 0.889
B: 0.889 0.752 0.024
Br: 0.048 0.507 0.628
Br: 0.110 0.119 0.555
Br: 0.120 0.419 0.246
Br: 0.133 0.134 0.964
Br: 0.135 0.828 0.268
Br: 0.201 0.748 0.883
Br: 0.378 0.385 0.820
Br: 0.387 0.684 0.513
Br: 0.420 0.109 0.255
Br: 0.494 0.047 0.642
Br: 0.508 0.492 0.184
Br: 0.562 0.865 0.004
Br: 0.686 0.376 0.521
Br: 0.746 0.200 0.886
Br: 0.750 0.747 0.336
Br: 0.829 0.132 0.269
Br: 0.865 0.867 0.699
Br: 0.868 0.562 0.002

=====

3.
A relaxed structure of LiSi2Se. Source: the Alexandria database, functional PBEsol.

Results
E_form (uncorrected) = -0.120 eV per atom
total DFT energy (no corrections) = -4.4477 eV/atom
crystal system = tetragonal

Lattice parameters (Å, degrees): 3.507 3.507 5.536 90.00 90.00 90.00
Space group P4mm (No. 99)
Symmetry-distinct sites (fractional):
Li: 0.000 0.000 0.000
Si: 0.000 0.000 0.489
Si: 0.500 0.500 0.614
Se: 0.500 0.500 0.035

=====

4.
A relaxed structure of CaSe4. Source: the Alexandria database, functional PBEsol.

Results
E_form (uncorrected) = -0.490 eV per atom
total DFT energy (no corrections) = -3.9969 eV/atom
crystal system = tetragonal

Lattice parameters (Å, degrees): 5.413 5.413 9.133 90.00 90.00 90.00
Space group I4/mmm (No. 139)
Symmetry-distinct sites (fractional):
Ca: 0.000 0.000 0.000
Se: 0.000 0.000 0.300
Se: 0.000 0.500 0.250

=====

5.
A relaxed structure of Cr2SiAg. Source: the Alexandria database, functional PBEsol.

Results
E_form (uncorrected) = 0.346 eV per atom
total DFT energy (no corrections) = -7.0394 eV/atom
crystal system = tetragonal

Lattice parameters (Å, degrees): 3.660 3.660 7.688 90.00 90.00 90.00
Space group I4/mmm (No. 139)
Symmetry-distinct sites (fractional):
Cr: 0.000 0.500 0.250
Si: 0.000 0.000 0.000
Ag: 0.000 0.000 0.500

=====

6.
A relaxed structure of Sc4Pb5. Source: the Alexandria database, functional PBEsol.

Results
DFT formation energy = -345 meV/atom
total DFT energy (no corrections) = -5.5019 eV/atom
crystal system = hexagonal

Lattice parameters (Å, degrees): 9.0092 9.0092 6.1727 90.00 90.00 120.00
Space group P6_3/mcm (No. 193)
Symmetry-distinct sites (fractional):
Sc: 0.0000 0.0000 0.0000
Sc: 0.0000 0.3846 0.2500
Pb: 0.0000 0.2844 0.7500
Pb: 0.3333 0.6667 0.0000

=====

7.
A relaxed structure of LiSb2P3O11. Source: the Alexandria database, functional PBEsol.

Results
E_form (uncorrected) = -1.957 eV per atom
total DFT energy (no corrections) = -7.0278 eV/atom
crystal system = monoclinic

Lattice parameters (Å, degrees): 11.612 9.112 9.210 90.00 110.18 90.00
Space group C2 (No. 5)
Symmetry-distinct sites (fractional):
Li: 0.220 0.000 0.187
Sb: 0.102 0.497 0.309
Sb: 0.109 0.997 0.797
P: 0.000 0.729 0.500
P: 0.000 0.764 0.000
P: 0.130 0.156 0.472
P: 0.136 0.315 0.995
O: 0.000 0.130 0.500
O: 0.000 0.341 0.000
O: 0.050 0.818 0.649
O: 0.067 0.678 0.146
O: 0.099 0.868 0.975
O: 0.106 0.629 0.494
O: 0.117 0.086 0.317
O: 0.140 0.381 0.847
O: 0.161 0.318 0.491
O: 0.168 0.153 0.022
O: 0.213 0.405 0.142
O: 0.215 0.065 0.612

=====

8.
A relaxed structure of TiReIrI2. Source: the Alexandria database, functional PBEsol.

Results
E_form (uncorrected) = 1.443 eV per atom
total DFT energy (no corrections) = -5.5594 eV/atom
crystal system = tetragonal

Lattice parameters (Å, degrees): 5.208 5.208 4.738 90.00 90.00 90.00
Space group P4/mmm (No. 123)
Symmetry-distinct sites (fractional):
Ti: 0.000 0.000 0.000
Re: 0.500 0.500 0.500
Ir: 0.500 0.500 0.000
I: 0.000 0.500 0.500

=====

9.
A relaxed structure of GaTeI2Cl. Source: the Alexandria database, functional PBEsol.

Results
E_form (uncorrected) = 0.369 eV per atom
total DFT energy (no corrections) = -2.1127 eV/atom
crystal system = tetragonal

Lattice parameters (Å, degrees): 5.687 5.687 5.258 90.00 90.00 90.00
Space group P4/mmm (No. 123)
Symmetry-distinct sites (fractional):
Ga: 0.000 0.000 0.000
Te: 0.500 0.500 0.000
I: 0.000 0.500 0.500
Cl: 0.500 0.500 0.500

=====

10.
A relaxed structure of NbInPdW2. Source: the Alexandria database, functional PBEsol.

Results
DFT formation energy = 2319 meV/atom
total DFT energy (no corrections) = -7.1569 eV/atom
crystal system = tetragonal

Lattice parameters (Å, degrees): 4.831 4.831 4.567 90.00 90.00 90.00
Space group P4/mmm (No. 123)
Symmetry-distinct sites (fractional):
Nb: 0.000 0.000 0.000
In: 0.500 0.500 0.500
Pd: 0.500 0.500 0.000
W: 0.000 0.500 0.500

=====

11.
A relaxed structure of BeCrRh2. Source: the Alexandria database, functional PBEsol.

Results
DFT formation energy = -353 meV/atom
total DFT energy (no corrections) = -7.9824 eV/atom
crystal system = tetragonal

Lattice parameters (Å, degrees): 2.707 2.707 6.195 90.00 90.00 90.00
Space group P4/mmm (No. 123)
Symmetry-distinct sites (fractional):
Be: 0.000 0.000 0.000
Cr: 0.000 0.000 0.500
Rh: 0.500 0.500 0.227

=====

12.
A relaxed structure of Tc3Ir5. Source: the Alexandria database, functional PBEsol.

Results
DFT formation energy = -169 meV/atom
total DFT energy (no corrections) = -10.5339 eV/atom
crystal system = orthorhombic

Lattice parameters (Å, degrees): 7.624 7.686 3.809 90.00 90.00 90.00
Space group Cmmm (No. 65)
Symmetry-distinct sites (fractional):
Tc: 0.000 0.000 0.000
Tc: 0.247 0.000 0.500
Ir: 0.000 0.248 0.500
Ir: 0.000 0.500 0.000
Ir: 0.250 0.250 0.000

=====

13.
A relaxed structure of La3ZnIn. Source: the Alexandria database, functional PBEsol.

Results
DFT formation energy = 106 meV/atom
total DFT energy (no corrections) = -4.0149 eV/atom
crystal system = cubic

Lattice parameters (Å, degrees): 5.560 5.560 5.560 90.00 90.00 90.00
Space group Pm-3m (No. 221)
Symmetry-distinct sites (fractional):
La: 0.000 0.000 0.500
Zn: 0.000 0.000 0.000
In: 0.500 0.500 0.500

=====

14.
A relaxed structure of BaGaAu3. Source: the Alexandria database, functional PBEsol.

Results
DFT formation energy = 772 meV/atom
total DFT energy (no corrections) = -2.6798 eV/atom
crystal system = cubic

Lattice parameters (Å, degrees): 5.944 5.944 5.944 90.00 90.00 90.00
Space group Pm-3m (No. 221)
Symmetry-distinct sites (fractional):
Ba: 0.000 0.000 0.000
Ga: 0.500 0.500 0.500
Au: 0.000 0.000 0.500

=====

15.
A relaxed structure of Al5Pt3. Source: the Alexandria database, functional PBEsol.

Results
DFT formation energy = -748 meV/atom
total DFT energy (no corrections) = -5.9162 eV/atom
crystal system = orthorhombic

Lattice parameters (Å, degrees): 7.355 8.054 3.910 90.00 90.00 90.00
Space group Cmmm (No. 65)
Symmetry-distinct sites (fractional):
Al: 0.000 0.000 0.000
Al: 0.229 0.500 0.500
Al: 0.250 0.250 0.000
Pt: 0.000 0.224 0.500
Pt: 0.000 0.500 0.000

=====

16.
A relaxed structure of Zr2ZnHgOs. Source: the Alexandria database, functional PBEsol.

Results
DFT formation energy = 1493 meV/atom
total DFT energy (no corrections) = -5.0158 eV/atom
crystal system = tetragonal

Lattice parameters (Å, degrees): 5.134 5.134 4.479 90.00 90.00 90.00
Space group P4/mmm (No. 123)
Symmetry-distinct sites (fractional):
Zr: 0.000 0.500 0.000
Zn: 0.000 0.000 0.500
Hg: 0.000 0.000 0.000
Os: 0.500 0.500 0.500

=====

17.
A relaxed structure of YSc2Se. Source: the Alexandria database, functional PBEsol.

Results
E_form (uncorrected) = -0.433 eV per atom
total DFT energy (no corrections) = -6.4036 eV/atom
crystal system = tetragonal

Lattice parameters (Å, degrees): 4.099 4.099 5.354 90.00 90.00 90.00
Space group P4/mmm (No. 123)
Symmetry-distinct sites (fractional):
Y: 0.000 0.000 0.000
Sc: 0.000 0.500 0.500
Se: 0.500 0.500 0.000

=====

18.
A relaxed structure of Ti3HgI. Source: the Alexandria database, functional PBEsol.

Results
E_form (uncorrected) = 0.917 eV per atom
total DFT energy (no corrections) = -4.5433 eV/atom
crystal system = cubic

Lattice parameters (Å, degrees): 4.907 4.907 4.907 90.00 90.00 90.00
Space group Pm-3m (No. 221)
Symmetry-distinct sites (fractional):
Ti: 0.000 0.000 0.500
Hg: 0.500 0.500 0.500
I: 0.000 0.000 0.000

=====

19.
A relaxed structure of TaRe3H. Source: the Alexandria database, functional PBEsol.

Results
total DFT energy (no corrections) = -7.8773 eV/atom
crystal system = cubic

Lattice parameters (Å, degrees): 4.729 4.729 4.729 90.00 90.00 90.00
Space group Pm-3m (No. 221)
Symmetry-distinct sites (fractional):
Ta: 0.000 0.000 0.000
Re: 0.000 0.000 0.500
H: 0.500 0.500 0.500

=====

20.
A relaxed structure of ScOsPt2S. Source: the Alexandria database, functional PBEsol.

Results
E_form (uncorrected) = 0.455 eV per atom
total DFT energy (no corrections) = -6.9717 eV/atom
crystal system = tetragonal

Lattice parameters (Å, degrees): 4.947 4.947 4.204 90.00 90.00 90.00
Space group P4/mmm (No. 123)
Symmetry-distinct sites (fractional):
Sc: 0.000 0.000 0.000
Os: 0.500 0.500 0.500
Pt: 0.000 0.500 0.500
S: 0.500 0.500 0.000

=====

Number 1: total magnetic moment 7.00 μB per formula unit. Number 2: total magnetic moment 0.00 μB per formula unit. Number 3: total magnetic moment 0.00 μB per formula unit. Number 4: total magnetic moment 0.00 μB per formula unit. Number 5: total magnetic moment 1.83 μB per formula unit. Number 6: total magnetic moment 0.00 μB per formula unit. Number 7: total magnetic moment 0.00 μB per formula unit. Number 8: total magnetic moment 1.80 μB per formula unit. Number 9: total magnetic moment 0.00 μB per formula unit. Number 10: total magnetic moment 0.00 μB per formula unit. Number 11: total magnetic moment 0.00 μB per formula unit. Number 12: total magnetic moment 0.00 μB per formula unit. Number 13: total magnetic moment 0.00 μB per formula unit. Number 14: total magnetic moment 0.00 μB per formula unit. Number 15: total magnetic moment 0.00 μB per formula unit. Number 16: total magnetic moment 0.62 μB per formula unit. Number 17: total magnetic moment 0.00 μB per formula unit. Number 18: total magnetic moment 2.97 μB per formula unit. Number 19: total magnetic moment 1.67 μB per formula unit. Number 20: total magnetic moment 0.00 μB per formula unit.